No. 1
MnIrRu2 | PBE | optimized geometry

Computed properties:
Excess energy over the best structure of this formula in the dataset in meV/atom: 371.5
Magnetization in μB per formula unit: 6.00
Calculated volume in Å³ per cell: 58

abc: 4.336 4.336 4.337
angles: 60.01 60.01 60.00
Fractional coordinates of all 4 atoms:
Mn: 0.500 0.500 0.500
Ir: 0.750 0.750 0.750
Ru: 0.000 0.000 0.000
Ru: 0.250 0.250 0.250

***

No. 2
HoTh3 | PBE | optimized geometry

Computed properties:
Excess energy over the best structure of this formula in the dataset in meV/atom: 10.5
Magnetization in μB per formula unit: 0.00
Calculated volume in Å³ per cell: 129

abc: 3.552 5.888 6.150
angles: 90.00 90.00 90.00
Fractional coordinates of all 4 atoms:
Ho: 0.000 0.000 0.003
Th: 0.000 0.500 0.331
Th: 0.500 0.000 0.500
Th: 0.500 0.500 0.834